Entry 1:
The following is a meta-GGA SCAN calculation of LiTc at its PBEsol-relaxed geometry, from Alexandria via LeMat-Bulk.

Structure (CIF):
```
data_LiTc
_symmetry_space_group_name_H-M 'P 1'
_symmetry_Int_Tables_number 1
_cell_length_a 2.449
_cell_length_b 4.538
_cell_length_c 5.230
_cell_angle_alpha 91.53
_cell_angle_beta 90.00
_cell_angle_gamma 105.65
loop_
_symmetry_equiv_pos_as_xyz
'x,y,z'
loop_
_atom_site_label
_atom_site_fract_x
_atom_site_fract_y
_atom_site_fract_z
Li1 0.877 0.754 0.609
Li2 0.123 0.246 0.391
Tc1 0.621 0.242 0.903
Tc2 0.379 0.758 0.097
```

Space group: C2/m (12)
Energy above the lowest structure with this stoichiometry (meV/atom): 72
DFT total energy (eV per atom): -18.5461
N(E_F) (states/eV/f.u.): 0.983
Spin magnetization (μB per cell): 0.00



Entry 2:
The following is a meta-GGA SCAN calculation of Mg2ZrPb at its PBEsol-relaxed geometry, from Alexandria via LeMat-Bulk.

Structure (CIF):
```
data_Mg2ZrPb
_symmetry_space_group_name_H-M 'P 1'
_symmetry_Int_Tables_number 1
_cell_length_a 3.323
_cell_length_b 5.069
_cell_length_c 6.188
_cell_angle_alpha 114.18
_cell_angle_beta 105.58
_cell_angle_gamma 90.00
loop_
_symmetry_equiv_pos_as_xyz
'x,y,z'
loop_
_atom_site_label
_atom_site_fract_x
_atom_site_fract_y
_atom_site_fract_z
Pb1 0.500 0.000 0.000
Mg1 0.749 0.749 0.498
Mg2 0.251 0.251 0.502
Zr1 0.000 0.500 0.000
```

Space group: Immm (71)
DFT total energy (eV per atom): -29.2621
N(E_F) (states/eV/f.u.): 1.815
Spin magnetization (μB per cell): 0.00